Entry 1:
{
  "formula": "Na2CaCd2Hg2",
  "functional": "PBE-GGA",
  "state": "optimized geometry",
  "total_energy_ev_per_atom": -1.2616,
  "volume_a3_per_atom": 26.5,
  "lattice_angstrom": [[2.529, 1.460, 8.358], [-2.529, 1.460, 8.358], [0.000, -2.920, 8.358]],
  "species": ["Na", "Na", "Ca", "Cd", "Cd", "Hg", "Hg"],
  "frac_coords": [[0.135, 0.135, 0.135], [0.865, 0.865, 0.865], [0.000, 0.000, 0.000], [0.267, 0.267, 0.267], [0.733, 0.733, 0.733], [0.401, 0.401, 0.401], [0.599, 0.599, 0.599]]
}

---

Entry 2:
{
  "formula": "CaCd2NiHg",
  "functional": "PBE-GGA",
  "state": "optimized geometry",
  "total_energy_ev_per_atom": -2.0478,
  "volume_a3_per_atom": 26.2,
  "e_above_lowest_polymorph_mev_per_atom": 31,
  "lattice_angstrom": [[5.031, 0.000, 0.000], [0.000, 5.031, 0.000], [0.000, 0.000, 5.170]],
  "species": ["Ca", "Cd", "Cd", "Ni", "Hg"],
  "frac_coords": [[0.000, 0.000, 0.000], [0.000, 0.500, 0.500], [0.500, 0.000, 0.500], [0.000, 0.000, 0.500], [0.500, 0.500, 0.000]]
}

---

Entry 3:
{
  "formula": "CaCd2NiHg",
  "functional": "PBE-GGA",
  "state": "optimized geometry",
  "total_energy_ev_per_atom": -2.0789,
  "volume_a3_per_atom": 24.9,
  "e_above_lowest_polymorph_mev_per_atom": 0,
  "lattice_angstrom": [[4.971, 0.000, 0.000], [0.000, 4.971, 0.000], [0.000, 0.000, 5.039]],
  "species": ["Ca", "Cd", "Cd", "Ni", "Hg"],
  "frac_coords": [[0.000, 0.000, 0.000], [0.000, 0.500, 0.500], [0.500, 0.000, 0.500], [0.500, 0.500, 0.500], [0.500, 0.500, 0.000]]
}

---

Computed DFT formation energy, in the same sequence as the records: -1.8 -0.3 -0.5 eV per formula unit.